Entry 1:
Here is a geometry-optimized Pm3NdOs structure from the Alexandria database. Energies are from PBE-GGA.

abc: 7.486 7.486 8.396
angles: 124.01 124.01 71.62
Atoms (fractional coordinates):
Pm: 0.052 0.447 0.797
Pm: 0.053 0.053 0.255
Pm: 0.447 0.052 0.797
Pm: 0.553 0.948 0.203
Pm: 0.947 0.947 0.745
Pm: 0.948 0.553 0.203
Nd: 0.446 0.446 0.651
Nd: 0.554 0.554 0.349
Os: 0.249 0.249 0.121
Os: 0.751 0.751 0.879

## Properties
total magnetic moment: 0.00 μB per cell
energy of formation: -0.09 eV per atom
E above lowest polymorph: 0 meV per atom
calculated density: 7.9 Mg/m³
E: -6.137 eV per atom

=====

Entry 2:
Here is a geometry-optimized NdScSi2 structure from the Alexandria database. Energies are from PBE-GGA.

abc: 3.819 5.675 5.675
angles: 43.94 90.00 90.00
Atoms (fractional coordinates):
Nd: 0.000 0.000 0.000
Sc: 0.500 0.722 0.722
Si: 0.000 0.279 0.279
Si: 0.500 0.428 0.428

## Properties
total magnetic moment: 0.00 μB per cell
formation energy (no corrections): -725 meV/atom
E above lowest polymorph: 0 meV per atom
calculated density: 4.8 Mg/m³
E: -6.211 eV per atom

=====

Copy entry 1 word for word.
Here is a geometry-optimized Pm3NdOs structure from the Alexandria database. Energies are from PBE-GGA.

abc: 7.486 7.486 8.396
angles: 124.01 124.01 71.62
Atoms (fractional coordinates):
Pm: 0.052 0.447 0.797
Pm: 0.053 0.053 0.255
Pm: 0.447 0.052 0.797
Pm: 0.553 0.948 0.203
Pm: 0.947 0.947 0.745
Pm: 0.948 0.553 0.203
Nd: 0.446 0.446 0.651
Nd: 0.554 0.554 0.349
Os: 0.249 0.249 0.121
Os: 0.751 0.751 0.879

## Properties
total magnetic moment: 0.00 μB per cell
energy of formation: -0.09 eV per atom
E above lowest polymorph: 0 meV per atom
calculated density: 7.9 Mg/m³
E: -6.137 eV per atom